[1]
The following is a GGA-PBE calculation of crystalline Pa2HgSe at its relaxed geometry, from the Alexandria database.

Structure (CIF):
```
data_Pa2HgSe
_symmetry_space_group_name_H-M 'R -3 m'
_symmetry_Int_Tables_number 166
_symmetry_space_group_name_Hall '-R 3 2"'
_cell_length_a 3.3586
_cell_length_b 3.3586
_cell_length_c 32.4026
_cell_angle_alpha 90.00
_cell_angle_beta 90.00
_cell_angle_gamma 120.00
loop_
_atom_site_label
_atom_site_type_symbol
_atom_site_fract_x
_atom_site_fract_y
_atom_site_fract_z
Pa1 Pa 0.0000 0.0000 0.0997
Hg1 Hg 0.0000 0.0000 0.0000
Se1 Se 0.0000 0.0000 0.5000
```

VASP energy	-5.81	eV per atom
D(E_F)	21.812	states/eV per cell



[2]
The following is a GGA-PBE calculation of crystalline PaHgSe3 at its relaxed geometry, from the Alexandria database.

Structure (CIF):
```
data_PaHgSe3
_symmetry_space_group_name_H-M 'R -3'
_symmetry_Int_Tables_number 148
_symmetry_space_group_name_Hall '-R 3'
_cell_length_a 7.4395
_cell_length_b 7.4395
_cell_length_c 19.8315
_cell_angle_alpha 90.00
_cell_angle_beta 90.00
_cell_angle_gamma 120.00
loop_
_atom_site_label
_atom_site_type_symbol
_atom_site_fract_x
_atom_site_fract_y
_atom_site_fract_z
Pa1 Pa 0.0000 0.0000 0.1660
Hg1 Hg 0.0000 0.0000 0.4273
Se1 Se 0.0016 0.6189 0.4206
```

VASP energy	-4.92	eV per atom
D(E_F)	6.975	states/eV per cell



[3]
The following is a GGA-PBE calculation of crystalline Pa4HgSe8 at its relaxed geometry, from the Alexandria database.

Structure (CIF):
```
data_Pa4HgSe8
_symmetry_space_group_name_H-M 'C 1 m 1'
_symmetry_Int_Tables_number 8
_symmetry_space_group_name_Hall 'C -2y'
_cell_length_a 19.9895
_cell_length_b 4.1751
_cell_length_c 13.7779
_cell_angle_alpha 90.00
_cell_angle_beta 130.61
_cell_angle_gamma 90.00
loop_
_atom_site_label
_atom_site_type_symbol
_atom_site_fract_x
_atom_site_fract_y
_atom_site_fract_z
Pa1 Pa 0.0000 0.0000 0.0000
Pa2 Pa 0.0153 0.5000 0.3591
Pa3 Pa 0.1945 0.0000 0.7072
Pa4 Pa 0.2097 0.5000 0.0665
Hg1 Hg 0.3578 0.5000 0.5357
Se1 Se 0.0227 0.5000 0.8824
Se2 Se 0.0673 0.5000 0.6069
Se3 Se 0.1424 0.0000 0.4593
Se4 Se 0.1870 0.0000 0.1841
Se5 Se 0.2249 0.0000 0.9413
Se6 Se 0.3163 0.5000 0.7786
Se7 Se 0.3935 0.5000 0.2876
Se8 Se 0.4841 0.0000 0.1244
```

VASP energy	-6.27	eV per atom
D(E_F)	40.000	states/eV per cell



[4]
The following is a GGA-PBE calculation of crystalline Pa2HgSe at its relaxed geometry, from the Alexandria database.

Structure (CIF):
```
data_Pa2HgSe
_symmetry_space_group_name_H-M 'P 4/m m m'
_symmetry_Int_Tables_number 123
_symmetry_space_group_name_Hall '-P 4 2'
_cell_length_a 3.4159
_cell_length_b 3.4159
_cell_length_c 7.9992
_cell_angle_alpha 90.00
_cell_angle_beta 90.00
_cell_angle_gamma 90.00
loop_
_atom_site_label
_atom_site_type_symbol
_atom_site_fract_x
_atom_site_fract_y
_atom_site_fract_z
Pa1 Pa 0.0000 0.0000 0.2261
Hg1 Hg 0.5000 0.5000 0.5000
Se1 Se 0.5000 0.5000 0.0000
```

VASP energy	-6.10	eV per atom
D(E_F)	7.588	states/eV per cell



[5]
The following is a GGA-PBE calculation of crystalline Pa2HgSe4 at its relaxed geometry, from the Alexandria database.

Structure (CIF):
```
data_Pa2HgSe4
_symmetry_space_group_name_H-M 'I m a 2'
_symmetry_Int_Tables_number 46
_symmetry_space_group_name_Hall 'I 2 -2a'
_cell_length_a 8.0518
_cell_length_b 13.7094
_cell_length_c 7.2543
_cell_angle_alpha 90.00
_cell_angle_beta 90.00
_cell_angle_gamma 90.00
loop_
_atom_site_label
_atom_site_type_symbol
_atom_site_fract_x
_atom_site_fract_y
_atom_site_fract_z
Pa1 Pa 0.0000 0.0000 0.0000
Pa2 Pa 0.2500 0.1998 0.3983
Hg1 Hg 0.2500 0.6484 0.2613
Se1 Se 0.0003 0.2041 0.1169
Se2 Se 0.2500 0.9995 0.2800
Se3 Se 0.2500 0.0950 0.7567
```

VASP energy	-5.85	eV per atom
D(E_F)	30.302	states/eV per cell



[6]
The following is a GGA-PBE calculation of crystalline Pa2HgSe4 at its relaxed geometry, from the Alexandria database.

Structure (CIF):
```
data_Pa2HgSe4
_symmetry_space_group_name_H-M 'C 1 2/c 1'
_symmetry_Int_Tables_number 15
_symmetry_space_group_name_Hall '-C 2yc'
_cell_length_a 12.2410
_cell_length_b 11.7930
_cell_length_c 8.8369
_cell_angle_alpha 90.00
_cell_angle_beta 133.83
_cell_angle_gamma 90.00
loop_
_atom_site_label
_atom_site_type_symbol
_atom_site_fract_x
_atom_site_fract_y
_atom_site_fract_z
Pa1 Pa 0.0000 0.0000 0.0000
Pa2 Pa 0.2500 0.2500 0.0000
Hg1 Hg 0.0000 0.3753 0.2500
Se1 Se 0.0088 0.2420 0.5505
Se2 Se 0.2080 0.0077 0.9493
```

VASP energy	-5.76	eV per atom
D(E_F)	35.277	states/eV per cell



[7]
The following is a GGA-PBE calculation of crystalline Sr2PaHgSe5 at its relaxed geometry, from the Alexandria database.

Structure (CIF):
```
data_Sr2PaHgSe5
_symmetry_space_group_name_H-M 'C m c 21'
_symmetry_Int_Tables_number 36
_symmetry_space_group_name_Hall 'C 2c -2'
_cell_length_a 4.2504
_cell_length_b 18.4181
_cell_length_c 13.1722
_cell_angle_alpha 90.00
_cell_angle_beta 90.00
_cell_angle_gamma 90.00
loop_
_atom_site_label
_atom_site_type_symbol
_atom_site_fract_x
_atom_site_fract_y
_atom_site_fract_z
Sr1 Sr 0.0000 0.1101 0.0000
Sr2 Sr 0.0000 0.1257 0.6322
Pa1 Pa 0.0000 0.2075 0.3323
Hg1 Hg 0.0000 0.4557 0.7639
Se1 Se 0.0000 0.0557 0.3852
Se2 Se 0.0000 0.2865 0.9799
Se3 Se 0.0000 0.3019 0.6827
Se4 Se 0.0000 0.3599 0.3213
Se5 Se 0.0000 0.4957 0.0809
```

VASP energy	-4.79	eV per atom
D(E_F)	22.650	states/eV per cell



[8]
The following is a GGA-PBE calculation of crystalline PaTl3Hg2Se6 at its relaxed geometry, from the Alexandria database.

Structure (CIF):
```
data_PaTl3Hg2Se6
_symmetry_space_group_name_H-M 'C 1 2/m 1'
_symmetry_Int_Tables_number 12
_symmetry_space_group_name_Hall '-C 2y'
_cell_length_a 7.0043
_cell_length_b 13.5680
_cell_length_c 7.9406
_cell_angle_alpha 90.00
_cell_angle_beta 102.53
_cell_angle_gamma 90.00
loop_
_atom_site_label
_atom_site_type_symbol
_atom_site_fract_x
_atom_site_fract_y
_atom_site_fract_z
Pa1 Pa 0.0000 0.0000 0.0000
Tl1 Tl 0.0000 0.1753 0.5000
Tl2 Tl 0.0000 0.5000 0.5000
Hg1 Hg 0.0000 0.3385 0.0000
Se1 Se 0.1853 0.0000 0.7365
Se2 Se 0.2494 0.1488 0.1909
```

VASP energy	-3.79	eV per atom



Number 1: uncorrected formation energy -119 meV per atom. Number 2: uncorrected formation energy -871 meV per atom. Number 3: uncorrected formation energy -1178 meV per atom. Number 4: uncorrected formation energy -404 meV per atom. Number 5: uncorrected formation energy -1107 meV per atom. Number 6: uncorrected formation energy -1011 meV per atom. Number 7: uncorrected formation energy -1395 meV per atom. Number 8: uncorrected formation energy -611 meV per atom.